[1]
Material: CdBrF2
Method: DFT, GGA-PBE
State: optimized geometry

Cell: 9.8801 9.8801 9.8801 Å, 20.02 20.02 20.02°
With the nearest neighbours (Å) after each atom.
Sites, in units of the cell vectors:
Cd1 0.0000 0.0000 0.0000  6 F 2.26
Br1 0.5000 0.5000 0.5000  6 Br 3.43, 2 F 3.76
F1 0.3706 0.3706 0.3706  3 Cd 2.26
F2 0.6294 0.6294 0.6294  3 Cd 2.26

Values from the calculation:
Energy above the lowest structure with this stoichiometry, eV/atom: 0.000
Formation energy without anion corrections, eV per atom: -1.40
Total moment, μB/f.u.: 0.43

***

[2]
Material: Cd5Br12F3
Method: DFT, GGA-PBE
State: optimized geometry

Cell: 14.5845 14.5845 14.5845 Å, 109.47 109.47 109.47°
With the nearest neighbours (Å) after each atom.
Sites, in units of the cell vectors:
Cd1 0.0000 0.0000 0.0000  6 Br 2.82
Cd2 0.0000 0.0000 0.5000  6 Br 2.82
Cd3 0.0000 0.5000 0.0000  6 Br 2.82
Cd4 0.0000 0.5000 0.5000  6 Br 2.82
Cd5 0.1250 0.7500 0.8750  4 Br 2.64
Cd6 0.1250 0.8750 0.2500  4 Br 2.64
Cd7 0.2500 0.1250 0.8750  4 Br 2.64
Cd8 0.2500 0.6250 0.3750  4 Br 2.64
Cd9 0.3750 0.2500 0.6250  4 Br 2.64
Cd10 0.3750 0.6250 0.7500  4 Br 2.64
Cd11 0.5000 0.0000 0.0000  6 Br 2.82
Cd12 0.5000 0.0000 0.5000  6 Br 2.82
Cd13 0.5000 0.5000 0.0000  6 Br 2.82
Cd14 0.5000 0.5000 0.5000  6 Br 2.82
Cd15 0.6250 0.3750 0.2500  4 Br 2.64
Cd16 0.6250 0.7500 0.3750  4 Br 2.64
Cd17 0.7500 0.3750 0.6250  4 Br 2.64
Cd18 0.7500 0.8750 0.1250  4 Br 2.64
Cd19 0.8750 0.1250 0.7500  4 Br 2.64
Cd20 0.8750 0.2500 0.1250  4 Br 2.64
Br1 0.0402 0.2209 0.1104  2 Cd 2.64-2.82
Br2 0.0402 0.3193 0.9298  2 Cd 2.64-2.82
Br3 0.0702 0.6104 0.3895  2 Cd 2.64-2.82
Br4 0.0702 0.9598 0.6807  2 Cd 2.64-2.82
Br5 0.1104 0.0402 0.2209  2 Cd 2.64-2.82
Br6 0.1104 0.5702 0.8895  2 Cd 2.64-2.82
Br7 0.1105 0.7209 0.6807  2 Cd 2.64-2.82
Br8 0.1105 0.8896 0.4298  2 Cd 2.64-2.82
Br9 0.1807 0.2209 0.6105  2 Cd 2.64-2.82
Br10 0.1807 0.4598 0.5702  2 Cd 2.64-2.82
Br11 0.2209 0.1104 0.0402  2 Cd 2.64-2.82
Br12 0.2209 0.6105 0.1807  2 Cd 2.64-2.82
Br13 0.2791 0.3193 0.8895  2 Cd 2.64-2.82
Br14 0.2791 0.4598 0.3896  2 Cd 2.64-2.82
Br15 0.3193 0.8895 0.2791  2 Cd 2.64-2.82
Br16 0.3193 0.9298 0.0402  2 Cd 2.64-2.82
Br17 0.3895 0.0702 0.6104  2 Cd 2.64-2.82
Br18 0.3895 0.8193 0.7791  2 Cd 2.64-2.82
Br19 0.3896 0.2791 0.4598  2 Cd 2.64-2.82
Br20 0.3896 0.6105 0.9298  2 Cd 2.64-2.82
Br21 0.4298 0.1105 0.8896  2 Cd 2.64-2.82
Br22 0.4298 0.8193 0.5402  2 Cd 2.64-2.82
Br23 0.4598 0.3896 0.2791  2 Cd 2.64-2.82
Br24 0.4598 0.5702 0.1807  2 Cd 2.64-2.82
Br25 0.5402 0.4298 0.8193  2 Cd 2.64-2.82
Br26 0.5402 0.6104 0.7209  2 Cd 2.64-2.82
Br27 0.5702 0.1807 0.4598  2 Cd 2.64-2.82
Br28 0.5702 0.8895 0.1104  2 Cd 2.64-2.82
Br29 0.6104 0.3895 0.0702  2 Cd 2.64-2.82
Br30 0.6104 0.7209 0.5402  2 Cd 2.64-2.82
Br31 0.6105 0.1807 0.2209  2 Cd 2.64-2.82
Br32 0.6105 0.9298 0.3896  2 Cd 2.64-2.82
Br33 0.6807 0.0702 0.9598  2 Cd 2.64-2.82
Br34 0.6807 0.1105 0.7209  2 Cd 2.64-2.82
Br35 0.7209 0.5402 0.6104  2 Cd 2.64-2.82
Br36 0.7209 0.6807 0.1105  2 Cd 2.64-2.82
Br37 0.7791 0.3895 0.8193  2 Cd 2.64-2.82
Br38 0.7791 0.8896 0.9598  2 Cd 2.64-2.82
Br39 0.8193 0.5402 0.4298  2 Cd 2.64-2.82
Br40 0.8193 0.7791 0.3895  2 Cd 2.64-2.82
Br41 0.8895 0.1104 0.5702  2 Cd 2.64-2.82
Br42 0.8895 0.2791 0.3193  2 Cd 2.64-2.82
Br43 0.8896 0.4298 0.1105  2 Cd 2.64-2.82
Br44 0.8896 0.9598 0.7791  2 Cd 2.64-2.82
Br45 0.9298 0.0402 0.3193  2 Cd 2.64-2.82
Br46 0.9298 0.3896 0.6105  2 Cd 2.64-2.82
Br47 0.9598 0.6807 0.0702  2 Cd 2.64-2.82
Br48 0.9598 0.7791 0.8896  2 Cd 2.64-2.82
F1 0.1250 0.2500 0.3750  4 Br 3.02
F2 0.1250 0.3750 0.7500  4 Br 3.02
F3 0.2500 0.3750 0.1250  4 Br 3.02
F4 0.2500 0.8750 0.6250  4 Br 3.02
F5 0.3750 0.1250 0.2500  4 Br 3.02
F6 0.3750 0.7500 0.1250  4 Br 3.02
F7 0.6250 0.2500 0.8750  4 Br 3.02
F8 0.6250 0.8750 0.7500  4 Br 3.02
F9 0.7500 0.1250 0.3750  4 Br 3.02
F10 0.7500 0.6250 0.8750  4 Br 3.02
F11 0.8750 0.6250 0.2500  4 Br 3.02
F12 0.8750 0.7500 0.6250  4 Br 3.02

Values from the calculation:
Formation energy without anion corrections, eV per atom: -0.45
Total moment, μB/f.u.: 5.16

***

[3]
Material: Cd5Br3F12
Method: DFT, GGA-PBE
State: optimized geometry

Cell: 12.4455 12.4455 12.4455 Å, 109.47 109.47 109.47°
With the nearest neighbours (Å) after each atom.
Sites, in units of the cell vectors:
Cd1 0.0000 0.0000 0.0000  6 F 2.26
Cd2 0.0000 0.0000 0.5000  6 F 2.26
Cd3 0.0000 0.5000 0.0000  6 F 2.26
Cd4 0.0000 0.5000 0.5000  6 F 2.26
Cd5 0.1250 0.7500 0.8750  4 F 2.17
Cd6 0.1250 0.8750 0.2500  4 F 2.17
Cd7 0.2500 0.1250 0.8750  4 F 2.17
Cd8 0.2500 0.6250 0.3750  4 F 2.17
Cd9 0.3750 0.2500 0.6250  4 F 2.17
Cd10 0.3750 0.6250 0.7500  4 F 2.17
Cd11 0.5000 0.0000 0.0000  6 F 2.26
Cd12 0.5000 0.0000 0.5000  6 F 2.26
Cd13 0.5000 0.5000 0.0000  6 F 2.26
Cd14 0.5000 0.5000 0.5000  6 F 2.26
Cd15 0.6250 0.3750 0.2500  4 F 2.17
Cd16 0.6250 0.7500 0.3750  4 F 2.17
Cd17 0.7500 0.3750 0.6250  4 F 2.17
Cd18 0.7500 0.8750 0.1250  4 F 2.17
Cd19 0.8750 0.1250 0.7500  4 F 2.17
Cd20 0.8750 0.2500 0.1250  4 F 2.17
Br1 0.1250 0.2500 0.3750  4 F 2.78
Br2 0.1250 0.3750 0.7500  4 F 2.78
Br3 0.2500 0.3750 0.1250  4 F 2.78
Br4 0.2500 0.8750 0.6250  4 F 2.78
Br5 0.3750 0.1250 0.2500  4 F 2.78
Br6 0.3750 0.7500 0.1250  4 F 2.78
Br7 0.6250 0.2500 0.8750  4 F 2.78
Br8 0.6250 0.8750 0.7500  4 F 2.78
Br9 0.7500 0.1250 0.3750  4 F 2.78
Br10 0.7500 0.6250 0.8750  4 F 2.78
Br11 0.8750 0.6250 0.2500  4 F 2.78
Br12 0.8750 0.7500 0.6250  4 F 2.78
F1 0.0144 0.1987 0.0871  2 Cd 2.17-2.26
F2 0.0144 0.3157 0.9273  2 Cd 2.17-2.26
F3 0.0727 0.5871 0.3884  2 Cd 2.17-2.26
F4 0.0727 0.9856 0.6843  2 Cd 2.17-2.26
F5 0.0871 0.0144 0.1987  2 Cd 2.17-2.26
F6 0.0871 0.5727 0.8884  2 Cd 2.17-2.26
F7 0.1116 0.6987 0.6843  2 Cd 2.17-2.26
F8 0.1116 0.9129 0.4273  2 Cd 2.17-2.26
F9 0.1843 0.1987 0.6116  2 Cd 2.17-2.26
F10 0.1843 0.4856 0.5727  2 Cd 2.17-2.26
F11 0.1987 0.0871 0.0144  2 Cd 2.17-2.26
F12 0.1987 0.6116 0.1843  2 Cd 2.17-2.26
F13 0.3013 0.3157 0.8884  2 Cd 2.17-2.26
F14 0.3013 0.4856 0.4129  2 Cd 2.17-2.26
F15 0.3157 0.8884 0.3013  2 Cd 2.17-2.26
F16 0.3157 0.9273 0.0144  2 Cd 2.17-2.26
F17 0.3884 0.0727 0.5871  2 Cd 2.17-2.26
F18 0.3884 0.8157 0.8013  2 Cd 2.17-2.26
F19 0.4129 0.3013 0.4856  2 Cd 2.17-2.26
F20 0.4129 0.6116 0.9273  2 Cd 2.17-2.26
F21 0.4273 0.1116 0.9129  2 Cd 2.17-2.26
F22 0.4273 0.8157 0.5144  2 Cd 2.17-2.26
F23 0.4856 0.4129 0.3013  2 Cd 2.17-2.26
F24 0.4856 0.5727 0.1843  2 Cd 2.17-2.26
F25 0.5144 0.4273 0.8157  2 Cd 2.17-2.26
F26 0.5144 0.5871 0.6987  2 Cd 2.17-2.26
F27 0.5727 0.1843 0.4856  2 Cd 2.17-2.26
F28 0.5727 0.8884 0.0871  2 Cd 2.17-2.26
F29 0.5871 0.3884 0.0727  2 Cd 2.17-2.26
F30 0.5871 0.6987 0.5144  2 Cd 2.17-2.26
F31 0.6116 0.1843 0.1987  2 Cd 2.17-2.26
F32 0.6116 0.9273 0.4129  2 Cd 2.17-2.26
F33 0.6843 0.0727 0.9856  2 Cd 2.17-2.26
F34 0.6843 0.1116 0.6987  2 Cd 2.17-2.26
F35 0.6987 0.5144 0.5871  2 Cd 2.17-2.26
F36 0.6987 0.6843 0.1116  2 Cd 2.17-2.26
F37 0.8013 0.3884 0.8157  2 Cd 2.17-2.26
F38 0.8013 0.9129 0.9856  2 Cd 2.17-2.26
F39 0.8157 0.5144 0.4273  2 Cd 2.17-2.26
F40 0.8157 0.8013 0.3884  2 Cd 2.17-2.26
F41 0.8884 0.0871 0.5727  2 Cd 2.17-2.26
F42 0.8884 0.3013 0.3157  2 Cd 2.17-2.26
F43 0.9129 0.4273 0.1116  2 Cd 2.17-2.26
F44 0.9129 0.9856 0.8013  2 Cd 2.17-2.26
F45 0.9273 0.0144 0.3157  2 Cd 2.17-2.26
F46 0.9273 0.4129 0.6116  2 Cd 2.17-2.26
F47 0.9856 0.6843 0.0727  2 Cd 2.17-2.26
F48 0.9856 0.8013 0.9129  2 Cd 2.17-2.26

Values from the calculation:
Formation energy without anion corrections, eV per atom: -1.42
Total moment, μB/f.u.: 5.00

***

[4]
Material: CdBrF2
Method: DFT, GGA-PBE
State: optimized geometry

Cell: 4.4663 4.4663 4.4663 Å, 60.00 60.00 60.00°
With the nearest neighbours (Å) after each atom.
Sites, in units of the cell vectors:
Cd1 0.0000 0.0000 0.0000  8 F 2.74
Br1 0.5000 0.5000 0.5000  8 F 2.74
F1 0.2500 0.2500 0.2500  4 Cd 2.74, 4 Br 2.74
F2 0.7500 0.7500 0.7500  4 Cd 2.74, 4 Br 2.74

Values from the calculation:
Energy above the lowest structure with this stoichiometry, eV/atom: 0.560
Formation energy without anion corrections, eV per atom: -0.84
Total moment, μB/f.u.: 1.00

***

[5]
Material: Cd4Br3F4
Method: DFT, GGA-PBE
State: optimized geometry

Cell: 8.2267 8.2267 8.2267 Å, 153.99 121.76 64.84°
With the nearest neighbours (Å) after each atom.
Sites, in units of the cell vectors:
Cd1 0.2103 0.2103 0.0000  4 F 2.41
Cd2 0.2841 0.5000 0.7841  2 F 2.42
Cd3 0.7159 0.5000 0.2159  2 F 2.42
Cd4 0.7897 0.7897 0.0000  4 F 2.41
Br1 0.0000 0.0000 0.0000  6 Cd 2.92-2.93, 8 F 3.22
Br2 0.3719 0.8719 0.5000  6 Cd 2.91-3.10, 6 F 3.23-3.24
Br3 0.6281 0.1281 0.5000  6 Cd 2.91-3.10, 6 F 3.23-3.24
F1 0.0106 0.3381 0.6725  3 Cd 2.41-2.42
F2 0.3344 0.6619 0.6725  3 Cd 2.41-2.42
F3 0.6656 0.3381 0.3275  3 Cd 2.41-2.42
F4 0.9894 0.6619 0.3275  3 Cd 2.41-2.42

Values from the calculation:
Formation energy without anion corrections, eV per atom: -1.31
Total moment, μB/f.u.: 0.00

***

[6]
Material: CdGeBr2F
Method: DFT, GGA-PBE
State: optimized geometry

Cell: 5.2431 5.2431 5.6466 Å, 90.00 90.00 90.00°
With the nearest neighbours (Å) after each atom.
Sites, in units of the cell vectors:
Cd1 0.0000 0.0000 0.0000  4 Br 2.62, 2 Ge 2.82
Ge1 0.0000 0.0000 0.5000  2 Cd 2.82
Br1 0.0000 0.5000 0.0000  2 Cd 2.62
Br2 0.5000 0.0000 0.0000  2 Cd 2.62
F1 0.5000 0.5000 0.5000  4 Ge 3.71, 8 Br 3.85

Values from the calculation:
Formation energy without anion corrections, eV per atom: 0.00
Total moment, μB/f.u.: 0.00

***

[7]
Material: K2CdBr3F
Method: DFT, GGA-PBE
State: optimized geometry

Cell: 9.3292 9.3292 9.3292 Å, 152.11 145.54 44.90°
With the nearest neighbours (Å) after each atom.
Sites, in units of the cell vectors:
K1 0.1442 0.1442 0.0000  7 Br 3.33-3.58, 2 F 3.72
K2 0.8558 0.8558 0.0000  7 Br 3.33-3.58, 2 F 3.72
Cd1 0.5000 0.5000 0.0000  2 F 2.25
Br1 0.0000 0.5000 0.5000  2 Cd 2.76
Br2 0.3372 0.3372 0.0000  1 Cd 2.81
Br3 0.6628 0.6628 0.0000  1 Cd 2.81
F1 0.5000 0.0000 0.5000  2 Cd 2.25

Values from the calculation:
Formation energy without anion corrections, eV per atom: -1.64
Total moment, μB/f.u.: 0.00

***

[8]
Material: K2CdBr2F2
Method: DFT, GGA-PBE
State: optimized geometry

Cell: 8.8455 8.8455 8.8455 Å, 149.58 149.58 43.56°
With the nearest neighbours (Å) after each atom.
Sites, in units of the cell vectors:
K1 0.1195 0.1195 0.0000  4 F 3.04, 4 Br 3.36
K2 0.8805 0.8805 0.0000  4 F 3.04, 4 Br 3.36
Cd1 0.5000 0.5000 0.0000  4 F 2.32
Br1 0.3353 0.3353 0.0000  1 Cd 2.71
Br2 0.6647 0.6647 0.0000  1 Cd 2.71
F1 0.0000 0.5000 0.5000  2 Cd 2.32
F2 0.5000 0.0000 0.5000  2 Cd 2.32

Values from the calculation:
Formation energy without anion corrections, eV per atom: -1.97
Total moment, μB/f.u.: 0.00